Computed, not measured: an optimized crystal structure of Ni2As2Rh at the GGA-PBE level of DFT.

The structure in POSCAR format:
```
Ni2As2Rh
1.0
6.688 0.000 0.000
0.000 6.688 0.000
0.000 0.000 3.091
Ni As Rh
4 4 2
Cartesian
0.907 2.437 0.000
2.437 5.781 0.000
4.251 0.907 0.000
5.781 4.251 0.000
1.059 4.403 1.545
2.286 1.059 1.545
4.403 5.630 1.545
5.630 2.286 1.545
0.000 0.000 1.545
3.344 3.344 1.545
```

calculated volume	13.83	Å³/atom
calculated formation energy	-0.157	eV/atom
E	-0.4263	Ry/atom
relative energy among the computed polymorphs	0	kJ/mol of formula units
space group	No. 127
size of the total moment	0.00	μB per cell

Computed, not measured: an optimized crystal structure of NiAs3Rh at the GGA-PBE level of DFT.

The structure in POSCAR format:
```
NiAs3Rh
1.0
4.520 0.000 0.000
0.000 4.520 0.000
0.000 0.000 4.520
Ni As Rh
1 3 1
Cartesian
0.000 0.000 0.000
0.000 0.000 2.260
0.000 2.260 0.000
2.260 0.000 0.000
2.260 2.260 2.260
```

calculated volume	18.47	Å³/atom
calculated formation energy	0.530	eV/atom
E	-0.3591	Ry/atom
relative energy among the computed polymorphs	0	kJ/mol of formula units
space group	No. 221
size of the total moment	0.00	μB per cell

Computed, not measured: an optimized crystal structure of NiAsRh2 at the GGA-PBE level of DFT.

The structure in POSCAR format:
```
NiAsRh2
1.0
2.760 -3.283 0.000
2.760 3.283 0.000
0.000 0.000 3.024
Ni As Rh
1 1 2
Cartesian
0.000 0.000 0.000
2.760 0.000 0.000
1.380 1.642 1.512
1.380 -1.642 1.512
```

calculated volume	13.71	Å³/atom
calculated formation energy	-0.108	eV/atom
E	-0.4698	Ry/atom
space group	No. 65
size of the total moment	0.00	μB per cell

Computed, not measured: an optimized crystal structure of Ni2AsRh2 at the GGA-PBE level of DFT.

The structure in POSCAR format:
```
Ni2AsRh2
1.0
5.953 0.000 0.000
0.000 5.953 0.000
0.000 0.000 3.853
Ni As Rh
4 2 4
Cartesian
0.827 2.149 0.000
2.149 5.126 0.000
3.804 0.827 0.000
5.126 3.804 0.000
0.000 0.000 0.000
2.977 2.977 0.000
0.954 3.930 1.927
2.023 0.954 1.927
3.930 4.999 1.927
4.999 2.023 1.927
```

calculated volume	13.65	Å³/atom
calculated formation energy	0.089	eV/atom
E	-0.4479	Ry/atom
relative energy among the computed polymorphs	0	kJ/mol of formula units
space group	No. 127
size of the total moment	0.87	μB per cell

Computed, not measured: an optimized crystal structure of Ni4AsRh at the GGA-PBE level of DFT.

The structure in POSCAR format:
```
Ni4AsRh
1.0
0.000 3.350 3.350
3.350 0.000 3.350
3.350 3.350 0.000
Ni As Rh
4 1 1
Cartesian
0.833 0.833 0.833
2.516 2.516 0.833
2.516 0.833 2.516
0.833 2.516 2.516
3.350 3.350 3.350
5.025 5.025 5.025
```

calculated volume	12.53	Å³/atom
calculated formation energy	0.163	eV/atom
E	-0.4183	Ry/atom
space group	No. 216
size of the total moment	2.12	μB per cell

Computed, not measured: an optimized crystal structure of Ni5As3Rh at the GGA-PBE level of DFT.

The structure in POSCAR format:
```
Ni5As3Rh
1.0
1.849 -6.380 0.000
1.849 6.380 0.000
0.000 0.000 10.550
Ni As Rh
10 6 2
Cartesian
0.000 0.000 0.000
0.000 0.000 5.275
1.849 3.866 5.741
1.849 3.866 10.084
1.849 0.971 1.372
1.849 0.971 3.903
1.849 -0.971 6.647
1.849 -0.971 9.178
1.849 -3.866 0.466
1.849 -3.866 4.809
1.849 4.625 7.913
1.849 1.543 6.232
1.849 1.543 9.593
1.849 -1.543 0.957
1.849 -1.543 4.318
1.849 -4.625 2.638
1.849 5.623 2.638
1.849 -5.623 7.913
```

calculated volume	13.83	Å³/atom
calculated formation energy	-0.217	eV/atom
E	-0.4260	Ry/atom
space group	No. 63
size of the total moment	0.00	μB per cell

Computed, not measured: an optimized crystal structure of NiAsRh2 at the GGA-PBE level of DFT.

The structure in POSCAR format:
```
NiAsRh2
1.0
2.862 0.000 0.000
0.000 3.791 0.000
-1.169 0.000 5.180
Ni As Rh
1 1 2
Cartesian
0.000 0.000 0.000
-0.584 0.000 2.590
0.248 1.895 3.863
1.445 1.895 1.317
```

calculated volume	14.05	Å³/atom
calculated formation energy	-0.071	eV/atom
E	-0.4670	Ry/atom
space group	No. 10
size of the total moment	0.53	μB per cell

Computed, not measured: an optimized crystal structure of NiAs2Rh2 at the GGA-PBE level of DFT.

The structure in POSCAR format:
```
NiAs2Rh2
1.0
6.839 0.000 0.000
0.000 6.839 0.000
0.000 0.000 3.180
Ni As Rh
2 4 4
Cartesian
0.000 0.000 0.000
3.420 3.420 0.000
1.065 2.355 0.000
2.355 5.775 0.000
4.484 1.065 0.000
5.775 4.484 0.000
0.991 4.410 1.590
2.429 0.991 1.590
4.410 5.848 1.590
5.848 2.429 1.590
```

calculated volume	14.87	Å³/atom
calculated formation energy	-0.102	eV/atom
E	-0.4453	Ry/atom
space group	No. 127
size of the total moment	0.00	μB per cell

Computed, not measured: an optimized crystal structure of NiAsRh2 at the GGA-PBE level of DFT.

The structure in POSCAR format:
```
NiAsRh2
1.0
2.685 -4.352 0.000
2.685 4.352 0.000
-1.432 0.000 2.408
Ni As Rh
1 1 2
Cartesian
0.000 0.000 0.000
2.685 0.000 0.000
0.626 2.176 1.204
0.626 -2.176 1.204
```

calculated volume	14.06	Å³/atom
calculated formation energy	0.022	eV/atom
E	-0.4602	Ry/atom
space group	No. 12
size of the total moment	0.00	μB per cell

Computed, not measured: an optimized crystal structure of NiAsRh2 at the GGA-PBE level of DFT.

The structure in POSCAR format:
```
NiAsRh2
1.0
-1.899 1.899 3.821
1.899 -1.899 3.821
1.899 1.899 -3.821
Ni As Rh
1 1 2
Cartesian
0.000 0.000 0.000
0.000 1.899 1.910
1.899 0.000 1.910
0.000 0.000 3.821
```

calculated volume	13.79	Å³/atom
calculated formation energy	-0.025	eV/atom
E	-0.4637	Ry/atom
space group	No. 119
size of the total moment	1.48	μB per cell

Computed, not measured: an optimized crystal structure of NiAsRuRh at the GGA-PBE level of DFT.

The structure in POSCAR format:
```
NiAsRuRh
1.0
0.000 2.996 2.996
2.996 0.000 2.996
2.996 2.996 0.000
Ni As Ru Rh
1 1 1 1
Cartesian
0.000 0.000 0.000
2.996 2.996 2.996
4.494 4.494 4.494
1.498 1.498 1.498
```

calculated volume	13.44	Å³/atom
calculated formation energy	-0.078	eV/atom
E	-0.5029	Ry/atom
space group	No. 216
size of the total moment	1.05	μB per cell

Computed, not measured: an optimized crystal structure of NiAsRhS2 at the GGA-PBE level of DFT.

The structure in POSCAR format:
```
NiAsRhS2
1.0
4.538 0.000 0.000
0.000 4.538 0.000
0.000 0.000 4.641
Ni As Rh S
1 1 1 2
Cartesian
0.000 0.000 0.000
2.269 2.269 0.000
0.000 0.000 2.320
0.000 2.269 2.320
2.269 0.000 2.320
```

calculated volume	19.12	Å³/atom
E	-0.3283	Ry/atom
space group	No. 123
size of the total moment	0.46	μB per cell
uncorrected formation energy	3.71	eV/f.u.

Computed, not measured: an optimized crystal structure of NiAs2RhSe at the GGA-PBE level of DFT.

The structure in POSCAR format:
```
NiAs2RhSe
1.0
4.456 0.000 0.000
0.000 4.456 0.000
0.000 0.000 4.770
Ni As Rh Se
1 2 1 1
Cartesian
0.000 0.000 0.000
0.000 2.228 0.000
2.228 0.000 0.000
2.228 2.228 2.385
0.000 0.000 2.385
```

calculated volume	18.94	Å³/atom
E	-0.3400	Ry/atom
relative energy among the computed polymorphs	0	kJ/mol of formula units
space group	No. 123
size of the total moment	0.00	μB per cell
uncorrected formation energy	2.79	eV/f.u.

Computed, not measured: an optimized crystal structure of NiAsRhSe2 at the GGA-PBE level of DFT.

The structure in POSCAR format:
```
NiAsRhSe2
1.0
4.690 0.000 0.000
0.000 4.690 0.000
0.000 0.000 4.396
Ni As Rh Se
1 1 1 2
Cartesian
0.000 0.000 0.000
0.000 0.000 2.198
2.345 2.345 2.198
0.000 2.345 0.000
2.345 0.000 0.000
```

calculated volume	19.34	Å³/atom
E	-0.3205	Ry/atom
relative energy among the computed polymorphs	0	kJ/mol of formula units
space group	No. 123
size of the total moment	0.00	μB per cell
uncorrected formation energy	2.95	eV/f.u.

Computed, not measured: an optimized crystal structure of NiAsRhSe2 at the GGA-PBE level of DFT.

The structure in POSCAR format:
```
NiAsRhSe2
1.0
5.006 0.000 0.000
0.000 5.006 0.000
0.000 0.000 4.549
Ni As Rh Se
1 1 1 2
Cartesian
0.000 0.000 0.000
2.503 2.503 0.000
2.503 2.503 2.274
0.000 2.503 2.274
2.503 0.000 2.274
```

calculated volume	22.80	Å³/atom
E	-0.3076	Ry/atom
relative energy among the computed polymorphs	85	kJ/mol of formula units
space group	No. 123
size of the total moment	1.32	μB per cell
uncorrected formation energy	3.83	eV/f.u.

Computed, not measured: an optimized crystal structure of NiAs2RhSe at the GGA-PBE level of DFT.

The structure in POSCAR format:
```
NiAs2RhSe
1.0
4.645 0.000 0.000
0.000 4.645 0.000
0.000 0.000 5.183
Ni As Rh Se
1 2 1 1
Cartesian
0.000 0.000 0.000
0.000 2.323 2.591
2.323 0.000 2.591
2.323 2.323 2.591
2.323 2.323 0.000
```

calculated volume	22.37	Å³/atom
E	-0.3246	Ry/atom
relative energy among the computed polymorphs	101	kJ/mol of formula units
space group	No. 123
size of the total moment	0.91	μB per cell
uncorrected formation energy	3.83	eV/f.u.

Computed, not measured: an optimized crystal structure of Sm2NiAs4Rh3 at the GGA-PBE level of DFT.

The structure in POSCAR format:
```
Sm2NiAs4Rh3
1.0
4.277 0.000 0.000
0.000 4.277 0.000
0.000 0.000 9.898
Sm Ni As Rh
2 1 4 3
Cartesian
0.000 2.138 2.451
2.138 0.000 7.447
2.138 2.138 0.000
0.000 0.000 4.949
0.000 2.138 8.617
2.138 0.000 1.281
2.138 2.138 4.949
0.000 0.000 0.000
0.000 2.138 6.179
2.138 0.000 3.718
```

calculated volume	18.10	Å³/atom
calculated formation energy	-0.861	eV/atom
E	-0.4739	Ry/atom
space group	No. 115
size of the total moment	0.00	μB per cell

Computed, not measured: an optimized crystal structure of Sm2NiAs3Rh4 at the GGA-PBE level of DFT.

The structure in POSCAR format:
```
Sm2NiAs3Rh4
1.0
4.191 0.000 0.000
0.000 4.191 0.000
0.000 0.000 10.137
Sm Ni As Rh
2 1 3 4
Cartesian
0.000 2.095 2.417
2.095 0.000 7.720
2.095 2.095 0.000
0.000 0.000 0.000
0.000 2.095 6.470
2.095 0.000 3.666
0.000 0.000 5.068
0.000 2.095 8.855
2.095 0.000 1.282
2.095 2.095 5.068
```

calculated volume	17.80	Å³/atom
calculated formation energy	-0.833	eV/atom
E	-0.4917	Ry/atom
space group	No. 115
size of the total moment	0.27	μB per cell

Computed, not measured: an optimized crystal structure of Sm2Ni3As4Rh at the GGA-PBE level of DFT.

The structure in POSCAR format:
```
Sm2Ni3As4Rh
1.0
4.219 0.000 0.000
0.000 4.219 0.000
0.000 0.000 9.574
Sm Ni As Rh
2 3 4 1
Cartesian
0.000 2.110 2.366
2.110 0.000 7.208
0.000 2.110 8.454
2.110 0.000 1.120
2.110 2.110 4.787
0.000 0.000 0.000
0.000 2.110 6.100
2.110 0.000 3.474
2.110 2.110 0.000
0.000 0.000 4.787
```

calculated volume	17.04	Å³/atom
calculated formation energy	-0.840	eV/atom
E	-0.4493	Ry/atom
space group	No. 115
size of the total moment	0.00	μB per cell

Computed, not measured: an optimized crystal structure of NiSnAs2Rh at the GGA-PBE level of DFT.

The structure in POSCAR format:
```
NiSnAs2Rh
1.0
5.148 0.000 0.000
0.000 5.148 0.000
0.000 0.000 4.881
Ni Sn As Rh
1 1 2 1
Cartesian
0.000 0.000 0.000
2.574 2.574 2.441
0.000 2.574 2.441
2.574 0.000 2.441
2.574 2.574 0.000
```

calculated volume	25.88	Å³/atom
calculated formation energy	1.409	eV/atom
E	-0.2851	Ry/atom
space group	No. 123
size of the total moment	0.45	μB per cell